Entry 1:
# Li3CrCd | the Alexandria database | meta-GGA SCAN | PBEsol geometry
data_Li3CrCd
_chemical_formula_sum 'Li3 Cr1 Cd1'
_cell_length_a 4.873
_cell_length_b 4.873
_cell_length_c 4.873
_cell_angle_alpha 90.00
_cell_angle_beta 90.00
_cell_angle_gamma 90.00
_symmetry_space_group_name_H-M 'P 1'
_symmetry_Int_Tables_number 1
loop_
_symmetry_equiv_pos_as_xyz
'x,y,z'
loop_
_atom_site_label
_atom_site_type_symbol
_atom_site_fract_x
_atom_site_fract_y
_atom_site_fract_z
Li1 Li 0.000 0.000 0.500
Li2 Li 0.000 0.500 0.000
Li3 Li 0.500 0.000 0.000
Cr1 Cr 0.500 0.500 0.500
Cd1 Cd 0.000 0.000 0.000
# Crystal system = cubic

---

Entry 2:
# LiCr2Cd | the Alexandria database | meta-GGA SCAN | PBEsol geometry
data_LiCr2Cd
_chemical_formula_sum 'Li1 Cr2 Cd1'
_cell_length_a 2.610
_cell_length_b 4.488
_cell_length_c 4.797
_cell_angle_alpha 90.00
_cell_angle_beta 103.58
_cell_angle_gamma 90.00
_symmetry_space_group_name_H-M 'P 1'
_symmetry_Int_Tables_number 1
loop_
_symmetry_equiv_pos_as_xyz
'x,y,z'
loop_
_atom_site_label
_atom_site_type_symbol
_atom_site_fract_x
_atom_site_fract_y
_atom_site_fract_z
Li1 Li 0.000 0.000 0.000
Cr1 Cr 0.478 0.500 0.203
Cr2 Cr 0.522 0.500 0.797
Cd1 Cd 0.000 0.000 0.500
# Crystal system = monoclinic

---

Entry 3:
# MgCr2Cd | the Alexandria database | meta-GGA SCAN | PBEsol geometry
data_MgCr2Cd
_chemical_formula_sum 'Mg2 Cr4 Cd2'
_cell_length_a 5.147
_cell_length_b 8.970
_cell_length_c 2.612
_cell_angle_alpha 90.00
_cell_angle_beta 102.91
_cell_angle_gamma 90.00
_symmetry_space_group_name_H-M 'P 1'
_symmetry_Int_Tables_number 1
loop_
_symmetry_equiv_pos_as_xyz
'x,y,z'
loop_
_atom_site_label
_atom_site_type_symbol
_atom_site_fract_x
_atom_site_fract_y
_atom_site_fract_z
Mg1 Mg 0.000 0.000 0.000
Mg2 Mg 0.500 0.500 0.000
Cr1 Cr 0.250 0.250 0.500
Cr2 Cr 0.250 0.750 0.500
Cr3 Cr 0.750 0.250 0.500
Cr4 Cr 0.750 0.750 0.500
Cd1 Cd 0.000 0.500 0.000
Cd2 Cd 0.500 0.000 0.000
# Crystal system = monoclinic

---

Entry 4:
# MgCrCd | the Alexandria database | meta-GGA SCAN | PBEsol geometry
data_MgCrCd
_chemical_formula_sum 'Mg1 Cr1 Cd1'
_cell_length_a 2.844
_cell_length_b 2.844
_cell_length_c 7.155
_cell_angle_alpha 90.00
_cell_angle_beta 90.00
_cell_angle_gamma 120.00
_symmetry_space_group_name_H-M 'P 1'
_symmetry_Int_Tables_number 1
loop_
_symmetry_equiv_pos_as_xyz
'x,y,z'
loop_
_atom_site_label
_atom_site_type_symbol
_atom_site_fract_x
_atom_site_fract_y
_atom_site_fract_z
Mg1 Mg 0.000 0.000 0.000
Cr1 Cr 0.333 0.667 0.307
Cd1 Cd 0.667 0.333 0.628
# Crystal system = trigonal

---

Entry 5:
# MgCr2Cd | the Alexandria database | meta-GGA SCAN | PBEsol geometry
data_MgCr2Cd
_chemical_formula_sum 'Mg2 Cr4 Cd2'
_cell_length_a 3.292
_cell_length_b 3.969
_cell_length_c 8.931
_cell_angle_alpha 90.00
_cell_angle_beta 90.00
_cell_angle_gamma 90.00
_symmetry_space_group_name_H-M 'P 1'
_symmetry_Int_Tables_number 1
loop_
_symmetry_equiv_pos_as_xyz
'x,y,z'
loop_
_atom_site_label
_atom_site_type_symbol
_atom_site_fract_x
_atom_site_fract_y
_atom_site_fract_z
Mg1 Mg 0.000 0.000 0.000
Mg2 Mg 0.500 0.500 0.500
Cr1 Cr 0.000 0.500 0.250
Cr2 Cr 0.000 0.500 0.750
Cr3 Cr 0.500 0.000 0.250
Cr4 Cr 0.500 0.000 0.750
Cd1 Cd 0.000 0.000 0.500
Cd2 Cd 0.500 0.500 0.000
# Crystal system = orthorhombic

---

Entry 6:
# MgCr2Cd | the Alexandria database | meta-GGA SCAN | PBEsol geometry
data_MgCr2Cd
_chemical_formula_sum 'Mg2 Cr4 Cd2'
_cell_length_a 3.291
_cell_length_b 4.049
_cell_length_c 8.919
_cell_angle_alpha 90.00
_cell_angle_beta 90.00
_cell_angle_gamma 90.00
_symmetry_space_group_name_H-M 'P 1'
_symmetry_Int_Tables_number 1
loop_
_symmetry_equiv_pos_as_xyz
'x,y,z'
loop_
_atom_site_label
_atom_site_type_symbol
_atom_site_fract_x
_atom_site_fract_y
_atom_site_fract_z
Mg1 Mg 0.000 0.000 0.000
Mg2 Mg 0.500 0.500 0.000
Cr1 Cr 0.000 0.500 0.248
Cr2 Cr 0.000 0.500 0.752
Cr3 Cr 0.500 0.000 0.248
Cr4 Cr 0.500 0.000 0.752
Cd1 Cd 0.000 0.000 0.500
Cd2 Cd 0.500 0.500 0.500
# Crystal system = orthorhombic

---

Entry 7:
# MgCrCd4 | the Alexandria database | meta-GGA SCAN | PBEsol geometry
data_MgCrCd4
_chemical_formula_sum 'Mg1 Cr1 Cd4'
_cell_length_a 5.587
_cell_length_b 5.587
_cell_length_c 5.587
_cell_angle_alpha 60.00
_cell_angle_beta 60.00
_cell_angle_gamma 60.00
_symmetry_space_group_name_H-M 'P 1'
_symmetry_Int_Tables_number 1
loop_
_symmetry_equiv_pos_as_xyz
'x,y,z'
loop_
_atom_site_label
_atom_site_type_symbol
_atom_site_fract_x
_atom_site_fract_y
_atom_site_fract_z
Mg1 Mg 0.000 0.000 0.000
Cr1 Cr 0.250 0.250 0.250
Cd1 Cd 0.126 0.625 0.625
Cd2 Cd 0.625 0.126 0.625
Cd3 Cd 0.625 0.625 0.126
Cd4 Cd 0.625 0.625 0.625
# Crystal system = cubic

---

Entry 8:
# Mn2CrCd | the Alexandria database | meta-GGA SCAN | PBEsol geometry
data_Mn2CrCd
_chemical_formula_sum 'Mn4 Cr2 Cd2'
_cell_length_a 3.882
_cell_length_b 3.882
_cell_length_c 7.291
_cell_angle_alpha 90.00
_cell_angle_beta 90.00
_cell_angle_gamma 90.00
_symmetry_space_group_name_H-M 'P 1'
_symmetry_Int_Tables_number 1
loop_
_symmetry_equiv_pos_as_xyz
'x,y,z'
loop_
_atom_site_label
_atom_site_type_symbol
_atom_site_fract_x
_atom_site_fract_y
_atom_site_fract_z
Mn1 Mn 0.000 0.500 0.250
Mn2 Mn 0.000 0.500 0.750
Mn3 Mn 0.500 0.000 0.250
Mn4 Mn 0.500 0.000 0.750
Cr1 Cr 0.000 0.000 0.000
Cr2 Cr 0.500 0.500 0.500
Cd1 Cd 0.000 0.000 0.500
Cd2 Cd 0.500 0.500 0.000
# Crystal system = tetragonal

---

Number 1: ρ 2.7 g/cm3, ΔH_f (0 K) 0.45 eV/atom. Number 2: ρ 6.8 g/cm3, ΔH_f (0 K) 0.53 eV/atom. Number 3: ρ 6.8 g/cm3, ΔH_f (0 K) 0.63 eV/atom. Number 4: ρ 6.3 g/cm3, ΔH_f (0 K) 0.56 eV/atom. Number 5: ρ 6.9 g/cm3, ΔH_f (0 K) 0.59 eV/atom. Number 6: ρ 6.7 g/cm3, ΔH_f (0 K) 0.70 eV/atom. Number 7: ρ 7.1 g/cm3, ΔH_f (0 K) 0.06 eV/atom. Number 8: ρ 8.3 g/cm3, ΔH_f (0 K) 0.05 eV/atom.